(1)
A plane-wave DFT calculation with PBE-GGA was carried out for an optimized crystal structure of KZrHgMo2.

The calculation puts the formation energy at 1.434 eV/atom. The total magnetization comes out at 4.08 Bohr magnetons per cell. The density of states at the Fermi level comes out at 4.54 states/eV/cell.

Cell lengths 5.0128, 5.0128, 5.8073 Å; angles 90.00, 90.00, 90.00 degrees
With the nearest neighbours (Å) after each atom.
Space group P4/mmm (No. 123)
Unique sites:
K (0.0000, 0.0000, 0.0000)  4 Hg 3.54, 8 Mo 3.84
Zr (0.5000, 0.5000, 0.5000)  4 Mo 2.51
Hg (0.5000, 0.5000, 0.0000)  2 Zr 2.90
Mo (0.0000, 0.5000, 0.5000)  2 Zr 2.51

---

(2)
A plane-wave DFT calculation with PBE-GGA was carried out for an optimized crystal structure of U2Co3B12Ir.

The calculation puts the formation energy at 0.054 eV/atom. The total magnetization comes out at 18.36 Bohr magnetons per cell. The density of states at the Fermi level comes out at 53.07 states/eV/cell.

Cell lengths 5.4301, 5.4301, 22.3634 Å; angles 90.00, 90.00, 120.00 degrees
With the nearest neighbours (Å) after each atom.
Space group R-3m (No. 166, hexagonal axes)
Unique sites:
U (0.0000, 0.0000, 0.1401)  6 B 2.62-2.91
Co (0.0000, 0.5000, 0.0000)  6 B 2.08-2.11
B (0.0690, 0.5345, 0.0917)  2 B 1.70
B (0.1083, 0.2167, 0.7379)  4 B 1.70-1.76
Ir (0.0000, 0.0000, 0.5000)  6 B 2.09

---

(3)
A plane-wave DFT calculation with PBE-GGA was carried out for an optimized crystal structure of BaHAu.

The total magnetization comes out at 0.00 Bohr magnetons per cell. The total energy comes out at -3.262 eV/atom. The density of states at the Fermi level comes out at 0.58 states/eV/cell.

Cell lengths 6.6812, 6.6812, 6.6812 Å; angles 90.00, 90.00, 90.00 degrees
With the nearest neighbours (Å) after each atom.
Space group F-43m (No. 216)
Unique sites:
Ba (0.0000, 0.0000, 0.0000)  4 H 2.89
H (0.2500, 0.2500, 0.7500)  4 Ba 2.89, 4 Au 2.89
Au (0.0000, 0.0000, 0.5000)  4 H 2.89

---

(4)
A plane-wave DFT calculation with PBE-GGA was carried out for an optimized crystal structure of NdPuMnZn.

The calculation puts the formation energy at 0.246 eV/atom. The total magnetization comes out at 35.65 Bohr magnetons per cell. The density of states at the Fermi level comes out at 46.96 states/eV/cell.

Cell lengths 7.2413, 7.2413, 7.2413 Å; angles 90.00, 90.00, 90.00 degrees
With the nearest neighbours (Å) after each atom.
Space group F-43m (No. 216)
Unique sites:
Nd (0.0000, 0.0000, 0.0000)  4 Zn 3.14, 4 Mn 3.14
Pu (0.0000, 0.0000, 0.5000)  4 Mn 3.14, 4 Zn 3.14
Mn (0.2500, 0.2500, 0.2500)  4 Nd 3.14, 4 Pu 3.14
Zn (0.2500, 0.2500, 0.7500)  4 Nd 3.14, 4 Pu 3.14